w) VASP calculation (PBE-GGA) on a relaxed structure of CrCuBr2.

Results
The value obtained for the total moment is 4.7 Bohr magnetons per cell. As for the space-group type: C2/m.

Unit cell a=5.365 b=5.365 c=4.250 alpha=65.34 beta=65.34 gamma=87.90
Each line ends with the local moment (μB).
Sites, in units of the cell vectors:
Br: 0.500 0.500 0.000  0.01
Cr: 0.500 0.000 0.500  4.12
Cu: 0.000 0.500 0.500  0.02
Br: 0.000 0.000 0.000  0.01


x) VASP calculation (PBE-GGA) on a relaxed structure of CrCuBr2.

Results
The value obtained for the total moment is 4.8 Bohr magnetons per cell. As for the space-group type: Pmmm.

Unit cell a=3.771 b=6.761 c=3.731 alpha=90.00 beta=90.00 gamma=90.00
Each line ends with the local moment (μB).
Sites, in units of the cell vectors:
Cu: 0.000 0.500 0.500  0.00
Cr: 0.500 0.000 0.500  4.16
Br: 0.500 0.500 0.000  0.02
Br: 0.000 0.000 0.000  0.01


y) VASP calculation (PBE-GGA) on a relaxed structure of CrCuBr2.

Results
The value obtained for the total moment is 10.0 Bohr magnetons per cell. As for the space-group type: I-42d.

Unit cell a=5.998 b=5.998 c=7.166 alpha=65.26 beta=65.26 gamma=90.00
Each line ends with the local moment (μB).
Sites, in units of the cell vectors:
Cu: 0.750 0.250 0.500  0.04
Br: 0.650 0.125 0.250  0.01
Br: 0.100 0.625 0.250  0.01
Cr: 0.500 0.500 0.000  4.20
Cr: 0.250 0.750 0.500  4.20
Cu: 0.000 0.000 0.000  0.04
Br: 0.875 0.900 0.750  0.01
Br: 0.375 0.350 0.750  0.01


z) VASP calculation (PBE-GGA) on a relaxed structure of CrCuBr2.

Results
The value obtained for the total moment is 3.8 Bohr magnetons per cell. As for the space-group type: C2/m.

Unit cell a=6.330 b=6.330 c=4.373 alpha=79.95 beta=79.95 gamma=33.40
Each line ends with the local moment (μB).
Sites, in units of the cell vectors:
Cr: 0.250 0.250 0.250  3.50
Cu: 0.750 0.750 0.750  0.03
Br: 0.897 0.897 0.066  -0.01
Br: 0.603 0.603 0.434  -0.01


We find y) to be the most stable, with the next structure 0.005 eV/atom higher.


w) VASP calculation (PBE-GGA) on a relaxed structure of CrCu2Br.

Results
The value obtained for the total moment is 4.3 Bohr magnetons per cell. As for the space-group type: P4mm.

Unit cell a=3.275 b=3.275 c=6.443 alpha=90.00 beta=90.00 gamma=90.00
Each line ends with the local moment (μB).
Sites, in units of the cell vectors:
Br: 0.000 0.000 0.533  0.03
Cr: 0.500 0.500 0.779  3.71
Cu: 0.500 0.500 0.168  0.05
Cu: 0.000 0.000 0.020  0.06


x) VASP calculation (PBE-GGA) on a relaxed structure of CrCu2Br.

Results
The value obtained for the total moment is 6.7 Bohr magnetons per cell. As for the space-group type: I-42d.

Unit cell a=7.359 b=7.359 c=5.780 alpha=50.46 beta=50.46 gamma=90.00
Each line ends with the local moment (μB).
Sites, in units of the cell vectors:
Cu: 0.375 0.370 0.750  -0.02
Cu: 0.630 0.125 0.250  -0.02
Cr: 0.500 0.500 0.000  3.37
Cu: 0.120 0.625 0.250  -0.02
Cu: 0.875 0.880 0.750  -0.02
Br: 0.750 0.250 0.500  -0.06
Cr: 0.250 0.750 0.500  3.36
Br: 0.000 0.000 0.000  -0.06


y) VASP calculation (PBE-GGA) on a relaxed structure of CrCu2Br.

Results
The value obtained for the total moment is 3.7 Bohr magnetons per cell. As for the space-group type: Cmmm.

Unit cell a=4.701 b=4.701 c=3.307 alpha=90.00 beta=90.00 gamma=115.42
Each line ends with the local moment (μB).
Sites, in units of the cell vectors:
Cr: 0.000 0.500 0.500  3.40
Cu: 0.500 0.500 0.000  0.03
Cu: 0.000 0.000 0.000  0.03
Br: 0.500 0.000 0.500  -0.02


We find w) to be the most stable, with the next structure 0.211 eV/atom higher.


w) VASP calculation (PBE-GGA) on a relaxed structure of CrCu2SnBr.

Results
The value obtained for the total moment is 4.5 Bohr magnetons per cell. As for the space-group type: P4/mmm.

Unit cell a=4.773 b=5.347 c=4.773 alpha=90.00 beta=90.00 gamma=90.00
Each line ends with the local moment (μB).
Sites, in units of the cell vectors:
Cu: 0.000 0.000 0.500  0.27
Sn: 0.000 0.500 0.000  0.01
Cr: 0.000 0.000 0.000  3.45
Br: 0.500 0.500 0.500  0.10
Cu: 0.500 0.000 0.000  0.17


x) VASP calculation (PBE-GGA) on a relaxed structure of CrCu2SnBr.

Results
The value obtained for the total moment is 3.6 Bohr magnetons per cell. As for the space-group type: P4/mmm.

Unit cell a=4.859 b=5.424 c=4.859 alpha=90.00 beta=90.00 gamma=90.00
Each line ends with the local moment (μB).
Sites, in units of the cell vectors:
Cu: 0.500 0.000 0.000  -0.07
Cr: 0.000 0.500 0.000  3.82
Sn: 0.000 0.000 0.000  -0.19
Cu: 0.000 0.000 0.500  -0.06
Br: 0.500 0.500 0.500  -0.09


We find x) to be the most stable, with the next structure 0.096 eV/atom higher.